PBE Cs2HfBeCl6, optimized geometry; E_form (uncorrected) = -1378 kJ/mol of formula units; calculated volume = 361 Å³/cell; spin magnetization = 0.0000 μB/atom
1.0
7.989 0.000 0.000
0.000 7.989 0.000
3.995 3.995 5.654
Cl Cs Be Hf
6 2 1 1
Cartesian
6.245 1.744 0.000
6.245 6.245 0.000
7.989 7.989 2.467
1.744 1.744 0.000
1.744 6.245 0.000
3.995 3.995 3.187
7.989 3.995 2.827
3.995 7.989 2.827
3.995 3.995 0.000
0.000 0.000 0.000